Entry 1:
PBE ReBNO, relaxed; ρ = 10.239 g/cm3; symmetry = P4/nmm, No. 129; DFT total energy = -7.663 eV/atom
1.0
3.3557 0.0000 0.0000
0.0000 3.3557 0.0000
0.0000 0.0000 6.5389
Re B N O
2 2 2 2
Cartesian
0.8389 0.8389 1.2997 Re
2.5168 2.5168 5.2392 Re
0.8389 2.5168 3.2695 B
2.5168 0.8389 3.2695 B
0.8389 0.8389 3.2315 N
2.5168 2.5168 3.3074 N
0.8389 2.5168 0.0000 O
2.5168 0.8389 0.0000 O

=====

Entry 2:
PBE ReBNO, relaxed; ρ = 10.881 g/cm3; symmetry = Pmc2_1, No. 26; DFT total energy = -8.782 eV/atom
1.0
2.5994 0.0000 0.0000
0.0000 5.6924 0.0000
0.0000 0.0000 4.6829
Re B N O
2 2 2 2
Cartesian
0.0000 0.5388 0.0000 Re
0.0000 5.1536 2.3415 Re
1.2997 2.1535 2.2959 B
1.2997 3.5390 4.6374 B
0.0000 1.4606 1.9289 N
0.0000 4.2319 4.2703 N
1.2997 2.2057 3.9558 O
1.2997 3.4867 1.6144 O

=====

Entry 3:
PBE TbBNO, relaxed; ρ = 6.832 g/cm3; symmetry = Pca2_1, No. 29; DFT total energy = -7.740 eV/atom
1.0
5.1691 0.0000 0.0000
0.0000 7.2891 0.0000
0.0000 0.0000 5.1543
Tb B N O
4 4 4 4
Cartesian
0.0193 1.1051 0.0000 Tb
2.5652 1.1051 2.5772 Tb
2.6038 6.1841 0.0000 Tb
5.1498 6.1841 2.5772 Tb
0.0630 4.5812 0.0015 B
2.5215 4.5812 2.5787 B
2.6476 2.7079 0.0015 B
5.1060 2.7079 2.5787 B
0.0248 5.9445 5.1525 N
2.5597 5.9445 2.5753 N
2.6093 1.3446 5.1525 N
5.1443 1.3446 2.5753 N
0.1312 3.3130 0.0139 O
2.4534 3.3130 2.5910 O
2.7157 3.9761 0.0139 O
5.0379 3.9761 2.5910 O

=====

Entry 4:
PBE TbBNO, relaxed; ρ = 6.523 g/cm3; symmetry = P4/nmm, No. 129; DFT total energy = -7.099 eV/atom
1.0
4.7821 0.0000 0.0000
0.0000 4.7821 0.0000
0.0000 0.0000 4.4472
Tb B N O
2 2 2 2
Cartesian
1.1955 3.5866 0.0000 Tb
3.5866 1.1955 0.0000 Tb
1.1955 1.1955 1.8148 B
3.5866 3.5866 2.6324 B
1.1955 1.1955 0.4539 N
3.5866 3.5866 3.9934 N
1.1955 3.5866 2.2236 O
3.5866 1.1955 2.2236 O